Mg2ScNi after structural relaxation, computed with PBE.

The magnetization comes out at 0.000 μB per formula unit. The value obtained for the formation energy is -0.09 eV per atom.

The space group is Cm (No. 8) and the conventional cell measures 10.648, 3.280 and 4.935 Å, with angles of 90.00, 117.34 and 90.00 degrees. The inequivalent atoms are Mg at (0.000, 0.000, 0.000), Mg at (0.213, 0.000, 0.714), Sc at (0.418, 0.000, 0.418) and Ni at (0.216, 0.500, 0.218).

Tm4Zn2Sn after structural relaxation, computed with PBE.

The magnetization comes out at 0.000 μB per formula unit. The value obtained for the formation energy is -0.18 eV per atom.

The space group is R-3m (No. 166, hexagonal axes) and the conventional cell measures 4.8430, 4.8430 and 27.7405 Å, with angles of 90.00, 90.00 and 120.00 degrees. The inequivalent atoms are Tm at (0.0000, 0.0000, 0.1165), Tm at (0.0000, 0.0000, 0.2993), Zn at (0.0000, 0.0000, 0.4012) and Sn at (0.0000, 0.0000, 0.5000).

magnetization of number 1 (Mg2ScNi)? 0.000 μB per formula unit

What is the magnetization in the first record? 0.000 μB per formula unit

What did the first record say?
Mg2ScNi after structural relaxation, computed with PBE.

The magnetization comes out at 0.000 μB per formula unit. The value obtained for the formation energy is -0.09 eV per atom.

The space group is Cm (No. 8) and the conventional cell measures 10.648, 3.280 and 4.935 Å, with angles of 90.00, 117.34 and 90.00 degrees. The inequivalent atoms are Mg at (0.000, 0.000, 0.000), Mg at (0.213, 0.000, 0.714), Sc at (0.418, 0.000, 0.418) and Ni at (0.216, 0.500, 0.218).

Which formula does entry 2 have? Tm4Zn2Sn